# 1
A plane-wave DFT calculation with PBE was carried out for a relaxed BeN3Cl crystal.

## Properties
- raw formation energy (kJ/mol of formula units) = 1063
- raw total energy (eV for the cell shown) = -19.53
- magnetic moment (μB per formula unit) = 3.115

Unit cell a=3.630 b=3.630 c=3.630 alpha=90.00 beta=90.00 gamma=90.00
Space group Pm-3m (No. 221)
One atom of each set of equivalent atoms:
1 Be 0.000 0.000 0.000
2 N 0.000 0.000 0.500
3 Cl 0.500 0.500 0.500


# 2
A plane-wave DFT calculation with PBE was carried out for a relaxed Tb4PmEr2Mg crystal.

## Properties
- raw total energy (eV for the cell shown) = -33.28
- magnetic moment (μB per formula unit) = 0.000
- formation energy from the elements (kcal/mol of atoms) = 2.0

Unit cell a=5.755 b=5.755 c=7.474 alpha=90.00 beta=90.00 gamma=90.00
Space group P4/mmm (No. 123)
One atom of each set of equivalent atoms:
1 Tb 0.000 0.500 0.246
2 Pm 0.000 0.000 0.000
3 Er 0.000 0.000 0.500
4 Er 0.500 0.500 0.500
5 Mg 0.500 0.500 0.000


# 3
A plane-wave DFT calculation with PBE was carried out for a relaxed Ca3Si2HgAu9 crystal.

## Properties
- raw formation energy (kJ/mol of formula units) = -493
- raw total energy (eV for the cell shown) = -51.76
- magnetic moment (μB per formula unit) = 0.000

Unit cell a=6.0948 b=6.0948 c=10.9964 alpha=90.00 beta=90.00 gamma=120.00
Space group P-3m1 (No. 164)
One atom of each set of equivalent atoms:
1 Ca 0.0000 0.0000 0.0000
2 Ca 0.3333 0.6667 0.5901
3 Si 0.3333 0.6667 0.1569
4 Hg 0.0000 0.0000 0.5000
5 Au 0.0000 0.5000 0.0000
6 Au 0.1631 0.3262 0.3039


# 4
A plane-wave DFT calculation with PBE was carried out for a relaxed MnFeNiSn crystal.

## Properties
- raw total energy (eV for the cell shown) = -110.03
- magnetic moment (μB per formula unit) = 4.984
- formation energy from the elements (kcal/mol of atoms) = -0.5

Unit cell a=6.027 b=6.027 c=6.027 alpha=90.00 beta=90.00 gamma=90.00
Space group F-43m (No. 216)
One atom of each set of equivalent atoms:
1 Mn 0.000 0.000 0.000
2 Fe 0.250 0.250 0.250
3 Ni 0.250 0.250 0.750
4 Sn 0.000 0.000 0.500


# 5
A plane-wave DFT calculation with PBE was carried out for a relaxed Rb3CrGe crystal.

## Properties
- raw total energy (eV for the cell shown) = -13.21
- offset from the most stable computed form (eV per atom) = 0.000
- magnetic moment (μB per formula unit) = 7.000
- formation energy from the elements (kcal/mol of atoms) = 18.1

Unit cell a=6.830 b=6.830 c=6.830 alpha=90.00 beta=90.00 gamma=90.00
Space group Pm-3m (No. 221)
One atom of each set of equivalent atoms:
1 Rb 0.000 0.000 0.500
2 Cr 0.500 0.500 0.500
3 Ge 0.000 0.000 0.000


# 6
A plane-wave DFT calculation with PBE was carried out for a relaxed ZrRu3Rh crystal.

## Properties
- raw total energy (eV for the cell shown) = -34.40
- offset from the most stable computed form (eV per atom) = 0.540
- magnetic moment (μB per formula unit) = 4.972
- formation energy from the elements (kcal/mol of atoms) = 43.0

Unit cell a=4.721 b=4.721 c=4.721 alpha=90.00 beta=90.00 gamma=90.00
Space group Pm-3m (No. 221)
One atom of each set of equivalent atoms:
1 Zr 0.000 0.000 0.000
2 Ru 0.000 0.000 0.500
3 Rh 0.500 0.500 0.500